No. 1
PBE SrY2Mn, relaxed; polymorph energy (0 for the lowest one) = 535.7 meV/atom; energy of formation = 2.9 eV/f.u.; total energy = -5.221 eV per atom; total moment = 0.00 μB/atom; density = 5.09 g/cm3
1.0
0.000 3.738 3.738
3.738 0.000 3.738
3.738 3.738 0.000
Y Sr Mn
2 1 1
direct
0.750 0.750 0.750 Y
0.250 0.250 0.250 Y
0.500 0.500 0.500 Sr
0.000 0.000 0.000 Mn

***

No. 2
PBE SrYMn2, relaxed; polymorph energy (0 for the lowest one) = 101.6 meV/atom; energy of formation = 2.0 eV/f.u.; total energy = -6.114 eV per atom; total moment = 1.76 μB/atom; density = 4.66 g/cm3
1.0
6.329 -0.015 0.005
3.160 5.484 -0.005
-4.145 -3.774 2.938
Mn Y Sr
2 1 1
direct
0.215 0.715 0.500 Mn
0.028 0.028 0.000 Mn
0.776 0.276 0.500 Y
0.480 0.480 0.000 Sr

***

No. 3
PBE SrYMn2, relaxed; polymorph energy (0 for the lowest one) = 24.7 meV/atom; energy of formation = 1.7 eV/f.u.; total energy = -6.191 eV per atom; total moment = 1.88 μB/atom; density = 4.46 g/cm3
1.0
3.554 0.005 0.000
-0.005 3.554 0.000
0.000 0.000 8.435
Sr Mn Y
1 2 1
direct
0.000 0.000 0.451 Sr
0.000 0.000 0.039 Mn
0.500 0.500 0.179 Mn
0.500 0.500 0.831 Y

***

No. 4
PBE Sr2YMn, relaxed; polymorph energy (0 for the lowest one) = 0.0 meV/atom; energy of formation = 1.0 eV/f.u.; total energy = -4.497 eV per atom; total moment = 0.86 μB/atom; density = 3.68 g/cm3
1.0
3.817 -0.027 0.000
0.027 3.817 0.000
0.000 0.000 9.882
Mn Y Sr
1 1 2
direct
0.500 0.500 0.719 Mn
0.000 0.000 0.570 Y
0.000 0.000 0.934 Sr
0.500 0.500 0.278 Sr

***

No. 5
PBE SrY2Mn, relaxed; polymorph energy (0 for the lowest one) = 303.3 meV/atom; energy of formation = 2.0 eV/f.u.; total energy = -5.454 eV per atom; total moment = 0.85 μB/atom; density = 4.32 g/cm3
1.0
-4.403 3.387 -0.563
-5.040 -1.660 1.738
-2.311 2.347 4.508
Y Mn Sr
2 1 1
direct
0.000 0.000 0.000 Y
0.250 0.250 0.250 Y
0.500 0.500 0.500 Mn
0.750 0.750 0.750 Sr

***

No. 6
PBE SrY3Mn, relaxed; polymorph energy (0 for the lowest one) = 0.0 meV/atom; energy of formation = 0.9 eV/f.u.; total energy = -5.860 eV per atom; total moment = 0.17 μB/atom; density = 4.21 g/cm3
1.0
-1.409 -2.015 4.856
2.603 -4.635 -1.169
4.568 2.020 2.163
Sr Y Mn
1 3 1
direct
0.500 0.500 0.500 Sr
0.000 0.500 0.000 Y
0.000 0.000 0.500 Y
0.500 0.000 0.000 Y
0.000 0.000 0.000 Mn

***

No. 7
PBE Sr2YMn, relaxed; polymorph energy (0 for the lowest one) = 122.1 meV/atom; energy of formation = 1.5 eV/f.u.; total energy = -4.375 eV per atom; total moment = 0.87 μB/atom; density = 3.69 g/cm3
1.0
-1.077 4.525 5.377
3.548 -0.938 6.090
0.185 1.260 -6.995
Sr Y Mn
2 1 1
direct
0.746 0.246 0.500 Sr
0.043 0.043 0.000 Sr
0.447 0.447 0.000 Y
0.264 0.764 0.500 Mn

***

No. 8
PBE SrMn2Zn, relaxed; energy of formation = 2.3 eV/f.u.; total energy = -4.757 eV per atom; total moment = 1.81 μB/atom; density = 5.21 g/cm3
1.0
5.836 0.256 -0.037
2.486 5.286 0.037
-3.475 -3.802 2.757
Mn Sr Zn
2 1 1
direct
0.784 0.284 0.500 Mn
0.012 0.012 0.000 Mn
0.490 0.490 0.000 Sr
0.213 0.713 0.500 Zn

***

No. 9
PBE SrMn2Zn, relaxed; energy of formation = 1.4 eV/f.u.; total energy = -4.973 eV per atom; total moment = 1.82 μB/atom; density = 4.60 g/cm3
1.0
4.425 -0.006 -0.004
2.217 3.830 -0.004
2.218 1.277 5.595
Mn Zn Sr
2 1 1
direct
0.987 0.987 0.038 Mn
0.699 0.699 0.903 Mn
0.310 0.310 0.071 Zn
0.504 0.504 0.488 Sr

***

No. 10
PBE SrMn2Zn, relaxed; energy of formation = 2.5 eV/f.u.; total energy = -4.697 eV per atom; total moment = 1.89 μB/atom; density = 5.03 g/cm3
1.0
-3.389 0.770 -2.634
0.450 -3.973 -1.741
-2.833 -1.700 3.148
Mn Sr Zn
2 1 1
direct
0.000 0.000 0.000 Mn
0.500 0.500 0.000 Mn
0.500 0.000 0.500 Sr
0.000 0.500 0.500 Zn

***

No. 11
PBE SrMn2Zn, relaxed; energy of formation = 1.6 eV/f.u.; total energy = -4.930 eV per atom; total moment = 1.86 μB/atom; density = 5.20 g/cm3
1.0
-1.871 2.718 0.972
0.301 -0.939 3.206
6.372 3.030 3.792
Mn Zn Sr
2 1 1
direct
0.000 0.007 0.992 Mn
0.500 0.319 0.181 Mn
0.500 0.677 0.823 Zn
0.000 0.497 0.504 Sr

***

No. 12
PBE SrMn2Zn, relaxed; energy of formation = 2.0 eV/f.u.; total energy = -4.813 eV per atom; total moment = 1.85 μB/atom; density = 5.03 g/cm3
1.0
4.340 0.000 0.000
0.000 3.163 -0.002
0.000 1.514 6.319
Zn Mn Sr
1 2 1
direct
0.500 0.750 0.750 Zn
0.000 0.557 0.578 Mn
0.000 0.943 0.922 Mn
0.500 0.250 0.250 Sr